{
  "formula": "ZrCuCl2",
  "functional": "PBE",
  "state": "optimized geometry",
  "e_above_lowest_polymorph_ev_per_atom": 0.000,
  "raw_formation_energy_mev_per_atom": -837,
  "cell": [[-0.2657, 1.9892, -2.6942], [1.1417, -2.5471, -1.9932], [-6.9218, -3.8382, -2.1512]],
  "species": ["Zr", "Cl", "Cl", "Cu"],
  "fractional_positions": [[0.5000, 0.9654, 0.6917], [0.0000, 0.8389, 0.9327], [0.5000, 0.1339, 0.3668], [0.0000, 0.5618, 0.5088]]
}